Density functional theory data (PBE) for an optimized crystal structure of LiCuAgBi.

Unit cell a=4.7468 b=4.7468 c=4.7468 alpha=60.00 beta=60.00 gamma=60.00
Fractional positions:
Ag (0.2500, 0.2500, 0.2500)
Bi (0.0000, 0.0000, 0.0000)
Cu (0.7500, 0.7500, 0.7500)
Li (0.5000, 0.5000, 0.5000)

Summary:
**Symmetry**: No. 216
**Excess energy over the best structure of this formula in the dataset**: 0.045 eV/atom
**VASP energy**: -12.7 eV/cell